Compound: CrInPb2
Source: the Alexandria database
Functional: PBE
Structure: optimized geometry

## Properties
- DFT total energy: -4.60 eV per atom
- Calculated volume: 26.609 Å³/atom
- Size of the total moment: 3.7 μB/f.u.
- Energy relative to the elements: 0.346 eV per atom

Lattice parameters (Å, degrees): 7.2259 7.2259 7.2259 153.06 141.33 47.76
Positions (direct):
Cr 0.0000 0.0000 0.0000
In 0.8144 0.3144 0.5000
Pb 0.1963 0.6963 0.5000
Pb 0.5022 0.5022 0.0000

=====

Compound: TaTl2W
Source: the Alexandria database
Functional: PBE
Structure: optimized geometry

## Properties
- DFT total energy: -6.87 eV per atom
- Calculated volume: 22.669 Å³/atom
- Size of the total moment: 0.0 μB/f.u.
- Energy relative to the elements: 0.515 eV per atom

Lattice parameters (Å, degrees): 3.0589 3.0589 10.5914 90.00 90.00 113.80
Positions (direct):
Ta 0.0000 0.0000 0.0000
Tl 0.0000 0.0000 0.4332
Tl 0.5000 0.5000 0.7426
W 0.5000 0.5000 0.1853

=====

Compound: SrTcOs
Source: the Alexandria database
Functional: PBE
Structure: optimized geometry

## Properties
- DFT total energy: -7.25 eV per atom
- Calculated volume: 21.502 Å³/atom
- Size of the total moment: 0.0 μB/f.u.
- Energy relative to the elements: 0.510 eV per atom

Lattice parameters (Å, degrees): 6.4457 6.4457 6.4457 150.57 150.57 42.11
Positions (direct):
Sr 0.0000 0.0000 0.0000
Tc 0.7109 0.7109 0.0000
Os 0.2935 0.2935 0.0000

=====

Compound: RbTaAg3
Source: the Alexandria database
Functional: PBE
Structure: optimized geometry

## Properties
- DFT total energy: -3.30 eV per atom
- Calculated volume: 30.811 Å³/atom
- Size of the total moment: 0.0 μB/f.u.
- Energy relative to the elements: 0.980 eV per atom

Lattice parameters (Å, degrees): 5.3608 5.3608 5.3608 90.00 90.00 90.00
Positions (direct):
Rb 0.0000 0.0000 0.0000
Ta 0.5000 0.5000 0.5000
Ag 0.0000 0.5000 0.5000
Ag 0.5000 0.0000 0.5000
Ag 0.5000 0.5000 0.0000

=====

Compound: MgMo2As
Source: the Alexandria database
Functional: PBE
Structure: optimized geometry

## Properties
- DFT total energy: -6.80 eV per atom
- Calculated volume: 16.285 Å³/atom
- Size of the total moment: 0.0 μB/f.u.
- Energy relative to the elements: 0.178 eV per atom

Lattice parameters (Å, degrees): 5.1917 5.1917 4.5397 115.28 115.28 36.59
Positions (direct):
Mg 0.0000 0.0000 0.0000
Mo 0.2331 0.2331 0.7337
Mo 0.7669 0.7669 0.2663
As 0.5000 0.5000 0.5000

=====

Compound: Na2InGa
Source: the Alexandria database
Functional: PBE
Structure: optimized geometry

## Properties
- DFT total energy: -2.12 eV per atom
- Calculated volume: 24.757 Å³/atom
- Size of the total moment: 0.0 μB/f.u.
- Energy relative to the elements: -0.021 eV per atom

Lattice parameters (Å, degrees): 3.1359 3.1359 10.0701 90.00 90.00 90.00
Positions (direct):
Na 0.0000 0.0000 0.2348
Na 0.0000 0.0000 0.7652
In 0.5000 0.5000 0.5000
Ga 0.5000 0.5000 0.0000

=====

Compound: Sr2AgAs
Source: the Alexandria database
Functional: PBE
Structure: optimized geometry

## Properties
- DFT total energy: -3.39 eV per atom
- Calculated volume: 28.677 Å³/atom
- Size of the total moment: 0.0 μB/f.u.
- Energy relative to the elements: -0.676 eV per atom

Lattice parameters (Å, degrees): 5.3826 5.3826 3.9592 90.00 90.00 90.00
Positions (direct):
Sr 0.0000 0.5000 0.0000
Sr 0.5000 0.0000 0.0000
Ag 0.0000 0.0000 0.5000
As 0.5000 0.5000 0.5000

=====

Compound: LaTiOs2
Source: the Alexandria database
Functional: PBE
Structure: optimized geometry

## Properties
- DFT total energy: -8.45 eV per atom
- Calculated volume: 25.171 Å³/atom
- Size of the total moment: 0.0 μB/f.u.
- Energy relative to the elements: 0.370 eV per atom

Lattice parameters (Å, degrees): 9.0074 9.0074 9.0074 148.28 148.28 45.47
Positions (direct):
La 0.3750 0.6250 0.7500
La 0.6250 0.3750 0.2500
Ti 0.1250 0.8750 0.2500
Ti 0.8750 0.1250 0.7500
Os 0.0000 0.0000 0.0000
Os 0.0000 0.0000 0.5000
Os 0.0000 0.5000 0.0000
Os 0.5000 0.0000 0.5000

=====

Compound: LiMnSi2
Source: the Alexandria database
Functional: PBE
Structure: optimized geometry

## Properties
- DFT total energy: -5.63 eV per atom
- Calculated volume: 11.849 Å³/atom
- Size of the total moment: 1.7 μB/f.u.
- Formation energy (no corrections): -145 meV/atom

Lattice parameters (Å, degrees): 4.5743 4.5743 4.5743 134.84 134.84 65.78
Positions (direct):
Li 0.0000 0.0000 0.0000
Mn 0.7500 0.2500 0.5000
Si 0.2500 0.7500 0.5000
Si 0.5000 0.5000 0.0000

=====

Compound: CrSn3Ge
Source: the Alexandria database
Functional: PBE
Structure: optimized geometry

## Properties
- DFT total energy: -4.79 eV per atom
- Calculated volume: 26.330 Å³/atom
- Size of the total moment: 2.8 μB/f.u.
- Energy relative to the elements: 0.464 eV per atom

Lattice parameters (Å, degrees): 5.0871 5.0871 5.0871 90.00 90.00 90.00
Positions (direct):
Cr 0.0000 0.0000 0.0000
Sn 0.0000 0.0000 0.5000
Sn 0.0000 0.5000 0.0000
Sn 0.5000 0.0000 0.0000
Ge 0.5000 0.5000 0.5000

=====

Compound: ZrNb2HgIr
Source: the Alexandria database
Functional: PBE
Structure: optimized geometry

## Properties
- DFT total energy: -5.85 eV per atom
- Calculated volume: 24.437 Å³/atom
- Size of the total moment: 0.0 μB/f.u.
- Energy relative to the elements: 1.719 eV per atom

Lattice parameters (Å, degrees): 4.9798 4.9798 4.9272 90.00 90.00 90.00
Positions (direct):
Zr 0.0000 0.0000 0.0000
Nb 0.0000 0.5000 0.5000
Nb 0.5000 0.0000 0.5000
Hg 0.5000 0.5000 0.5000
Ir 0.5000 0.5000 0.0000

=====

Compound: YNi2Pt3
Source: the Alexandria database
Functional: PBE
Structure: optimized geometry

## Properties
- DFT total energy: -6.50 eV per atom
- Calculated volume: 16.006 Å³/atom
- Size of the total moment: 1.9 μB/f.u.
- Energy relative to the elements: -0.476 eV per atom

Lattice parameters (Å, degrees): 7.6606 7.6606 7.6606 43.34 43.34 43.34
Positions (direct):
Y 0.2154 0.2154 0.2154
Y 0.7846 0.7846 0.7846
Ni 0.0000 0.0000 0.0000
Ni 0.0000 0.5000 0.5000
Ni 0.5000 0.0000 0.5000
Ni 0.5000 0.5000 0.0000
Pt 0.2394 0.7315 0.7315
Pt 0.2685 0.2685 0.7606
Pt 0.2685 0.7606 0.2685
Pt 0.7315 0.2394 0.7315
Pt 0.7315 0.7315 0.2394
Pt 0.7606 0.2685 0.2685

=====

Compound: MgCuNiAg
Source: the Alexandria database
Functional: PBE
Structure: optimized geometry

## Properties
- DFT total energy: -3.59 eV per atom
- Calculated volume: 14.500 Å³/atom
- Size of the total moment: 0.0 μB/f.u.
- Energy relative to the elements: -0.007 eV per atom

Lattice parameters (Å, degrees): 4.3449 4.3449 4.3449 60.00 60.00 60.00
Positions (direct):
Mg 0.0000 0.0000 0.0000
Cu 0.5000 0.5000 0.5000
Ni 0.7500 0.7500 0.7500
Ag 0.2500 0.2500 0.2500

=====

Compound: ScCuGe
Source: the Alexandria database
Functional: PBE
Structure: optimized geometry

## Properties
- DFT total energy: -5.50 eV per atom
- Calculated volume: 16.607 Å³/atom
- Size of the total moment: 0.0 μB/f.u.
- Energy relative to the elements: -0.490 eV per atom

Lattice parameters (Å, degrees): 6.7136 6.7136 3.8291 90.00 90.00 120.00
Positions (direct):
Sc 0.0000 0.6019 0.0000
Sc 0.3981 0.3981 0.0000
Sc 0.6019 0.0000 0.0000
Cu 0.0000 0.0000 0.0000
Cu 0.3333 0.6667 0.5000
Cu 0.6667 0.3333 0.5000
Ge 0.0000 0.2677 0.5000
Ge 0.2677 0.0000 0.5000
Ge 0.7323 0.7323 0.5000

=====

Compound: TlSb2Ir
Source: the Alexandria database
Functional: PBE
Structure: optimized geometry

## Properties
- DFT total energy: -4.33 eV per atom
- Calculated volume: 22.990 Å³/atom
- Size of the total moment: 0.0 μB/f.u.
- Formation energy (no corrections): 538 meV/atom

Lattice parameters (Å, degrees): 4.3631 4.3631 4.8308 90.00 90.00 90.00
Positions (direct):
Tl 0.0000 0.0000 0.0000
Sb 0.0000 0.5000 0.5000
Sb 0.5000 0.0000 0.5000
Ir 0.5000 0.5000 0.0000

=====

Compound: RbAg2F6
Source: the Alexandria database
Functional: PBE
Structure: optimized geometry

## Properties
- DFT total energy: -3.51 eV per atom
- Calculated volume: 17.586 Å³/atom
- Size of the total moment: 0.0 μB/f.u.
- Formation energy (no corrections): -1525 meV/atom

Lattice parameters (Å, degrees): 4.2991 4.2991 8.5637 90.00 90.00 90.00
Positions (direct):
Rb 0.0000 0.0000 0.0000
Ag 0.5000 0.5000 0.2571
Ag 0.5000 0.5000 0.7429
F 0.0000 0.5000 0.2391
F 0.0000 0.5000 0.7609
F 0.5000 0.0000 0.2391
F 0.5000 0.0000 0.7609
F 0.5000 0.5000 0.0000
F 0.5000 0.5000 0.5000

=====

Compound: YThZn10
Source: the Alexandria database
Functional: PBE
Structure: optimized geometry

## Properties
- DFT total energy: -2.48 eV per atom
- Calculated volume: 17.532 Å³/atom
- Size of the total moment: 0.0 μB/f.u.
- Energy relative to the elements: -0.259 eV per atom

Lattice parameters (Å, degrees): 4.2202 5.3830 9.2609 90.00 90.00 90.00
Positions (direct):
Y 0.0000 0.0000 0.0000
Th 0.0000 0.5000 0.5000
Zn 0.0000 0.0000 0.3272
Zn 0.0000 0.0000 0.6728
Zn 0.0000 0.5000 0.1605
Zn 0.0000 0.5000 0.8395
Zn 0.5000 0.0000 0.5000
Zn 0.5000 0.2518 0.2500
Zn 0.5000 0.2518 0.7500
Zn 0.5000 0.5000 0.0000
Zn 0.5000 0.7482 0.2500
Zn 0.5000 0.7482 0.7500

=====

Compound: PrYCo2
Source: the Alexandria database
Functional: PBE
Structure: optimized geometry

## Properties
- DFT total energy: -6.36 eV per atom
- Calculated volume: 20.180 Å³/atom
- Size of the total moment: 1.0 μB/f.u.
- Energy relative to the elements: 0.002 eV per atom

Lattice parameters (Å, degrees): 3.4311 3.4311 6.8569 90.00 90.00 90.00
Positions (direct):
Pr 0.0000 0.0000 0.0000
Y 0.0000 0.0000 0.5000
Co 0.5000 0.5000 0.2594
Co 0.5000 0.5000 0.7406

=====

Compound: Pu2UTl3S6
Source: the Alexandria database
Functional: PBE
Structure: optimized geometry

## Properties
- DFT total energy: -7.16 eV per atom
- Calculated volume: 26.901 Å³/atom
- Size of the total moment: 13.0 μB/f.u.
- Formation energy (no corrections): -1177 meV/atom

Lattice parameters (Å, degrees): 7.0558 7.0558 7.8462 98.61 98.61 119.98
Positions (direct):
Pu 0.1665 0.8335 0.0000
Pu 0.8335 0.1665 0.0000
U 0.5000 0.5000 0.0000
Tl 0.0000 0.0000 0.5000
Tl 0.3317 0.6683 0.5000
Tl 0.6683 0.3317 0.5000
S 0.1107 0.4356 0.8067
S 0.2403 0.2403 0.1953
S 0.4356 0.1107 0.8067
S 0.5644 0.8893 0.1933
S 0.7597 0.7597 0.8047
S 0.8893 0.5644 0.1933

=====

Compound: Ac2Pr3Mg2
Source: the Alexandria database
Functional: PBE
Structure: optimized geometry

## Properties
- DFT total energy: -3.65 eV per atom
- Calculated volume: 36.067 Å³/atom
- Size of the total moment: 0.5 μB/f.u.
- Energy relative to the elements: 0.029 eV per atom

Lattice parameters (Å, degrees): 16.8285 16.8285 3.8642 90.00 90.00 166.66
Positions (direct):
Ac 0.1995 0.8005 0.0000
Ac 0.8005 0.1995 0.0000
Pr 0.0743 0.9257 0.0000
Pr 0.5000 0.5000 0.5000
Pr 0.9257 0.0743 0.0000
Mg 0.3676 0.6324 0.5000
Mg 0.6324 0.3676 0.5000